A plane-wave DFT calculation with PBE with a Hubbard U was carried out for a geometry-optimized TaTl2FeO6 structure.

Structure (POSCAR):
```
TaTl2FeO6
1.0
2.810 1.622 4.793
-2.810 1.622 4.793
0.000 -3.245 4.793
Ta Tl Fe O
1 2 1 6
direct
0.000 0.000 0.000
0.250 0.250 0.250
0.736 0.736 0.736
0.504 0.504 0.504
0.154 0.764 0.358
0.265 0.731 0.792
0.358 0.154 0.764
0.731 0.792 0.265
0.764 0.358 0.154
0.792 0.265 0.731
```

For the total energy, the calculation gives -67.1 eV/cell. As for the space group: R3, No. 146.